A relaxed SrAc2Nd crystal. Source: Alexandria via LeMat-Bulk, functional PBE.

Density (kg/m³): 6489
Energy relative to the elements (eV per atom): 0.145

a = 8.8877 Å, b = 8.8877 Å, c = 8.8877 Å
α = 90.00°, β = 90.00°, γ = 90.00°
Space group Fm-3m (No. 225)
Asymmetric unit:
Sr (0.0000, 0.0000, 0.0000) (multiplicity 4)
Ac (0.2500, 0.2500, 0.2500) (multiplicity 8)
Nd (0.0000, 0.0000, 0.5000) (multiplicity 4)